Entry 1:
Ba3ErBe2O6 GGA-PBE relaxed; total moment = 0.006 μB per cell; E = -6.660 eV per atom; calculated volume = 17.47 Å³ per atom
1.0
5.766 0.000 0.000
-2.883 4.994 0.000
0.000 0.000 7.279
Ba Er Be O
3 1 2 6
Direct
0.000 0.000 0.000
0.333 0.667 0.682
0.667 0.333 0.318
0.000 0.000 0.500
0.333 0.667 0.279
0.667 0.333 0.721
0.178 0.356 0.310
0.178 0.822 0.310
0.356 0.178 0.690
0.644 0.822 0.310
0.822 0.178 0.690
0.822 0.644 0.690

Entry 2:
BaBeF4 GGA-PBE relaxed; total moment = 0.000 μB per cell; E = -5.607 eV per atom; calculated volume = 12.92 Å³ per atom
1.0
2.151 -6.756 0.000
2.151 6.756 0.000
0.000 0.000 5.332
Ba Be F
2 2 8
Direct
0.130 0.870 0.750
0.870 0.130 0.250
0.405 0.595 0.750
0.595 0.405 0.250
0.079 0.921 0.250
0.323 0.677 0.530
0.323 0.677 0.970
0.500 0.500 0.000
0.500 0.500 0.500
0.677 0.323 0.030
0.677 0.323 0.470
0.921 0.079 0.750

Entry 3:
BaBeF4 GGA-PBE relaxed; total moment = 0.001 μB per cell; E = -5.839 eV per atom; calculated volume = 14.39 Å³ per atom
1.0
8.974 0.000 0.000
0.000 5.393 0.000
0.000 0.000 7.137
Ba Be F
4 4 16
Direct
0.187 0.250 0.154
0.313 0.750 0.654
0.687 0.250 0.346
0.813 0.750 0.846
0.054 0.250 0.691
0.446 0.750 0.191
0.554 0.250 0.809
0.946 0.750 0.309
0.079 0.015 0.818
0.079 0.485 0.818
0.110 0.750 0.377
0.174 0.250 0.535
0.326 0.750 0.035
0.390 0.250 0.877
0.421 0.515 0.318
0.421 0.985 0.318
0.579 0.015 0.682
0.579 0.485 0.682
0.610 0.750 0.123
0.674 0.250 0.965
0.826 0.750 0.465
0.890 0.250 0.623
0.921 0.515 0.182
0.921 0.985 0.182

Entry 4:
BaBeF3 GGA-PBE relaxed; total moment = 1.000 μB per cell; E = -4.064 eV per atom; calculated volume = 26.07 Å³ per atom
1.0
5.071 0.000 0.000
0.000 5.071 0.000
0.000 0.000 5.071
Ba Be F
1 1 3
Direct
0.000 0.000 0.000
0.500 0.500 0.500
0.000 0.000 0.500
0.000 0.500 0.000
0.500 0.000 0.000